[1]
DFT (PBE) results for a relaxed LaTl2SbSe4 crystal.

```
data_LaTl2SbSe4
_chemical_formula_sum 'La4 Tl8 Sb4 Se16'
_cell_length_a 8.783
_cell_length_b 8.954
_cell_length_c 12.556
_cell_angle_alpha 90.00
_cell_angle_beta 90.00
_cell_angle_gamma 90.00
_space_group_name_H-M_alt 'I m m a'
_space_group_IT_number 74
_space_group_name_Hall '-I 2b 2'
loop_
_atom_site_label
_atom_site_fract_x
_atom_site_fract_y
_atom_site_fract_z
La1 0.000 0.000 0.000
Tl1 0.000 0.000 0.500
Tl2 0.250 0.250 0.250
Sb1 0.250 0.250 0.750
Se1 0.000 0.029 0.759
Se2 0.229 0.250 0.983
```

Values from the calculation:
As for the uncorrected formation energy: -20.35 kcal/mol of atoms.

=====

[2]
DFT (PBE) results for a relaxed LaTlSb2Se crystal.

```
data_LaTlSb2Se
_chemical_formula_sum 'La1 Tl1 Sb2 Se1'
_cell_length_a 5.605
_cell_length_b 5.605
_cell_length_c 5.395
_cell_angle_alpha 90.00
_cell_angle_beta 90.00
_cell_angle_gamma 90.00
_space_group_name_H-M_alt 'P 4/m m m'
_space_group_IT_number 123
_space_group_name_Hall '-P 4 2'
loop_
_atom_site_label
_atom_site_fract_x
_atom_site_fract_y
_atom_site_fract_z
La1 0.000 0.000 0.000
Tl1 0.500 0.500 0.500
Sb1 0.000 0.500 0.500
Se1 0.500 0.500 0.000
```

Values from the calculation:
As for the uncorrected formation energy: 2.25 kcal/mol of atoms.

=====

[3]
DFT (PBE) results for a relaxed LaZn2SbSe crystal.

```
data_LaZn2SbSe
_chemical_formula_sum 'La1 Zn2 Sb1 Se1'
_cell_length_a 4.906
_cell_length_b 4.906
_cell_length_c 5.866
_cell_angle_alpha 90.00
_cell_angle_beta 90.00
_cell_angle_gamma 90.00
_space_group_name_H-M_alt 'P 4/m m m'
_space_group_IT_number 123
_space_group_name_Hall '-P 4 2'
loop_
_atom_site_label
_atom_site_fract_x
_atom_site_fract_y
_atom_site_fract_z
La1 0.000 0.000 0.000
Zn1 0.000 0.500 0.500
Sb1 0.500 0.500 0.000
Se1 0.000 0.000 0.500
```

Values from the calculation:
As for the uncorrected formation energy: -7.46 kcal/mol of atoms.

=====

[4]
DFT (PBE) results for a relaxed LaZn2SbSe crystal.

```
data_LaZn2SbSe
_chemical_formula_sum 'La1 Zn2 Sb1 Se1'
_cell_length_a 5.066
_cell_length_b 5.066
_cell_length_c 5.636
_cell_angle_alpha 90.00
_cell_angle_beta 90.00
_cell_angle_gamma 90.00
_space_group_name_H-M_alt 'P 4/m m m'
_space_group_IT_number 123
_space_group_name_Hall '-P 4 2'
loop_
_atom_site_label
_atom_site_fract_x
_atom_site_fract_y
_atom_site_fract_z
La1 0.000 0.000 0.000
Zn1 0.000 0.500 0.500
Sb1 0.500 0.500 0.500
Se1 0.500 0.500 0.000
```

Values from the calculation:
As for the uncorrected formation energy: -0.12 kcal/mol of atoms.

=====

[5]
DFT (PBE) results for a relaxed La5Si2Sb2 crystal.

```
data_La5Si2Sb2
_chemical_formula_sum 'La20 Si8 Sb8'
_cell_length_a 15.923
_cell_length_b 8.257
_cell_length_c 8.316
_cell_angle_alpha 90.00
_cell_angle_beta 90.00
_cell_angle_gamma 90.00
_space_group_name_H-M_alt 'C m c e'
_space_group_IT_number 64
_space_group_name_Hall '-C 2ac 2'
loop_
_atom_site_label
_atom_site_fract_x
_atom_site_fract_y
_atom_site_fract_z
La1 0.000 0.000 0.000
La2 0.130 0.177 0.325
Si1 0.000 0.111 0.612
Sb1 0.208 0.000 0.000
```

Values from the calculation:
As for the uncorrected formation energy: -21.38 kcal/mol of atoms.

=====

[6]
DFT (PBE) results for a relaxed LaSiSb3 crystal.

```
data_LaSiSb3
_chemical_formula_sum 'La1 Si1 Sb3'
_cell_length_a 5.263
_cell_length_b 5.263
_cell_length_c 5.263
_cell_angle_alpha 90.00
_cell_angle_beta 90.00
_cell_angle_gamma 90.00
_space_group_name_H-M_alt 'P m -3 m'
_space_group_IT_number 221
_space_group_name_Hall '-P 4 2 3'
loop_
_atom_site_label
_atom_site_fract_x
_atom_site_fract_y
_atom_site_fract_z
La1 0.000 0.000 0.000
Si1 0.500 0.500 0.500
Sb1 0.000 0.500 0.500
```

Values from the calculation:
As for the uncorrected formation energy: -0.60 kcal/mol of atoms.